A plane-wave DFT calculation with PBE was carried out for a geometry-optimized BaIn2S structure.

Cell: 9.062 9.062 7.138 Å, 50.59 50.59 90.00°
Fractional positions:
Ba (0.000, 0.000, 0.000)
S (0.250, 0.750, 0.500)
In (0.375, 0.436, 0.750)
In (0.875, 0.814, 0.750)
In (0.186, 0.625, 0.250)
Ba (0.750, 0.250, 0.500)
S (0.500, 0.500, 0.000)
In (0.564, 0.125, 0.250)

- mass density (kg/m³) = 5133
- VASP energy (eV/atom) = -3.42
- raw formation energy (meV per atom) = -535.3
- total magnetic moment (μB/atom) = 0.00

***

A plane-wave DFT calculation with PBE was carried out for a geometry-optimized K3YP structure.

Cell: 6.270 6.270 6.270 Å, 90.00 90.00 90.00°
Site moments in Bohr magnetons follow the coordinates.
Fractional positions:
K (0.000, 0.000, 0.500)  0.00
K (0.500, 0.000, 0.000)  0.00
P (0.000, 0.000, 0.000)  -0.08
K (0.000, 0.500, 0.000)  0.00
Y (0.500, 0.500, 0.500)  0.53

- mass density (kg/m³) = 1598
- VASP energy (eV/atom) = -2.54
- E above lowest polymorph (meV per atom) = 0.0
- total magnetic moment (μB/atom) = 0.20
- E_form (eV/atom) = 0.496

***

A plane-wave DFT calculation with PBE was carried out for a geometry-optimized Co3MoPt structure.

Cell: 4.329 4.329 4.329 Å, 90.00 90.00 90.00°
Site moments in Bohr magnetons follow the coordinates.
Fractional positions:
Co (0.000, 0.000, 0.500)  0.49
Co (0.000, 0.500, 0.000)  0.39
Co (0.500, 0.000, 0.000)  0.59
Pt (0.500, 0.500, 0.500)  0.14
Mo (0.000, 0.000, 0.000)  -0.11

- mass density (kg/m³) = 9576
- VASP energy (eV/atom) = -6.18
- E above lowest polymorph (meV per atom) = 1444.1
- total magnetic moment (μB/atom) = 0.29
- E_form (eV/atom) = 1.454

***

A plane-wave DFT calculation with PBE was carried out for a geometry-optimized Sr2NiAs2 structure.

Cell: 4.102 6.133 10.928 Å, 75.64 79.19 70.47°
Fractional positions:
As (0.653, 0.845, 0.850)
Sr (0.692, 0.251, 0.364)
Ni (0.427, 0.829, 0.317)
As (0.957, 0.683, 0.404)
As (0.347, 0.155, 0.150)
Sr (0.087, 0.726, 0.100)
As (0.043, 0.317, 0.596)
Ni (0.573, 0.171, 0.683)
Sr (0.913, 0.274, 0.900)
Sr (0.308, 0.749, 0.636)

- mass density (kg/m³) = 5111
- VASP energy (eV/atom) = -4.57
- total magnetic moment (μB/atom) = 0.00
- E_form (eV/atom) = -0.878

***

A plane-wave DFT calculation with PBE was carried out for a geometry-optimized Li4Ca3Hg4 structure.

Cell: 3.851 4.690 15.154 Å, 81.36 82.58 90.03°
Fractional positions:
Ca (0.144, 0.645, 0.711)
Li (0.595, 0.095, 0.808)
Li (0.745, 0.744, 0.511)
Ca (0.000, 0.000, 0.000)
Hg (0.686, 0.188, 0.625)
Li (0.405, 0.905, 0.192)
Ca (0.856, 0.355, 0.289)
Hg (0.551, 0.552, 0.898)
Li (0.255, 0.256, 0.489)
Hg (0.314, 0.812, 0.375)
Hg (0.449, 0.448, 0.102)

- mass density (kg/m³) = 5883
- VASP energy (eV/atom) = -1.71
- total magnetic moment (μB/atom) = 0.00
- E_form (eV/atom) = -0.360

***

A plane-wave DFT calculation with PBE was carried out for a geometry-optimized Y5Bi4Sb structure.

Cell: 6.314 7.732 7.732 Å, 80.41 65.90 65.90°
Fractional positions:
Bi (0.200, 0.202, 0.399)
Y (0.297, 0.804, 0.605)
Sb (0.001, 0.000, 0.000)
Y (0.902, 0.395, 0.804)
Y (0.100, 0.605, 0.196)
Y (0.705, 0.196, 0.395)
Y (0.501, 0.000, 0.000)
Bi (0.599, 0.601, 0.202)
Bi (0.402, 0.399, 0.798)
Bi (0.802, 0.798, 0.601)

- mass density (kg/m³) = 7402
- VASP energy (eV/atom) = -6.15
- raw formation energy (meV per atom) = -950.1
- total magnetic moment (μB/atom) = 0.00

***

A plane-wave DFT calculation with PBE was carried out for a geometry-optimized Zn5Te7 structure.

Cell: 8.442 8.442 8.442 Å, 124.30 124.30 82.70°
Fractional positions:
Zn (0.849, 0.849, 0.000)
Te (0.428, 0.741, 0.687)
Te (0.741, 0.054, 0.313)
Zn (0.846, 0.337, 0.000)
Te (0.054, 0.741, 0.313)
Zn (0.337, 0.337, 0.491)
Zn (0.337, 0.846, 0.000)
Te (0.059, 0.059, 0.000)
Te (0.741, 0.428, 0.687)
Zn (0.846, 0.846, 0.509)
Te (0.481, 0.981, 0.500)
Te (0.981, 0.481, 0.500)

- mass density (kg/m³) = 5139
- VASP energy (eV/atom) = -2.28
- raw formation energy (meV per atom) = 85.6
- total magnetic moment (μB/atom) = 0.00

***

A plane-wave DFT calculation with PBE was carried out for a geometry-optimized TaNbBiCl2 structure.

Cell: 5.140 5.999 5.140 Å, 90.00 90.00 90.00°
Site moments in Bohr magnetons follow the coordinates.
Fractional positions:
Bi (0.000, 0.000, 0.000)  -0.02
Nb (0.500, 0.500, 0.500)  2.39
Cl (0.000, 0.000, 0.500)  0.06
Cl (0.500, 0.000, 0.000)  0.06
Ta (0.000, 0.500, 0.000)  0.95

- mass density (kg/m³) = 5801
- VASP energy (eV/atom) = -4.36
- raw formation energy (meV per atom) = 1544.0
- total magnetic moment (μB/atom) = 0.96

***

A plane-wave DFT calculation with PBE was carried out for a geometry-optimized ScMn2Ir structure.

Cell: 4.266 4.266 4.266 Å, 60.00 60.00 60.00°
Fractional positions:
Ir (0.500, 0.500, 0.500)
Mn (0.750, 0.750, 0.750)
Mn (0.250, 0.250, 0.250)
Sc (0.000, 0.000, 0.000)

- mass density (kg/m³) = 10496
- VASP energy (eV/atom) = -8.32
- E above lowest polymorph (meV per atom) = 319.1
- total magnetic moment (μB/atom) = 0.00
- E_form (eV/atom) = 0.058

***

A plane-wave DFT calculation with PBE was carried out for a geometry-optimized SrYFe4 structure.

Cell: 5.251 5.251 5.251 Å, 60.00 60.00 60.00°
Site moments in Bohr magnetons follow the coordinates.
Fractional positions:
Fe (0.877, 0.374, 0.374)  2.23
Y (0.000, 0.000, 0.000)  -0.41
Sr (0.750, 0.750, 0.750)  -0.14
Fe (0.374, 0.374, 0.877)  2.23
Fe (0.374, 0.877, 0.374)  2.23
Fe (0.374, 0.374, 0.374)  2.23

- mass density (kg/m³) = 6488
- VASP energy (eV/atom) = -6.72
- total magnetic moment (μB/atom) = 1.31
- E_form (eV/atom) = 0.279

***

A plane-wave DFT calculation with PBE was carried out for a geometry-optimized Ho2CoOs structure.

Cell: 3.220 3.220 9.443 Å, 80.18 80.18 60.00°
Site moments in Bohr magnetons follow the coordinates.
Fractional positions:
Ho (0.090, 0.090, 0.730)  -0.12
Ho (0.910, 0.910, 0.270)  -0.12
Co (0.000, 0.000, 0.000)  1.12
Os (0.500, 0.500, 0.500)  -0.01

- mass density (kg/m³) = 11565
- VASP energy (eV/atom) = -6.29
- E above lowest polymorph (meV per atom) = 729.8
- total magnetic moment (μB/atom) = 0.20
- E_form (eV/atom) = 0.578

***

A plane-wave DFT calculation with PBE was carried out for a geometry-optimized PrEuPbAu structure.

Cell: 5.479 5.479 5.479 Å, 60.00 60.00 60.00°
Site moments in Bohr magnetons follow the coordinates.
Fractional positions:
Pr (0.750, 0.750, 0.750)  0.06
Eu (0.250, 0.250, 0.250)  6.86
Au (0.500, 0.500, 0.500)  0.00
Pb (0.000, 0.000, 0.000)  -0.01

- mass density (kg/m³) = 9955
- VASP energy (eV/atom) = -6.16
- total magnetic moment (μB/atom) = 1.80
- E_form (eV/atom) = -0.649

***

A plane-wave DFT calculation with PBE was carried out for a geometry-optimized Rh structure.

Cell: 2.715 2.715 8.892 Å, 90.00 90.00 120.00°
Fractional positions:
Rh (0.000, 0.000, 0.000)
Rh (0.333, 0.667, 0.250)
Rh (0.667, 0.333, 0.750)
Rh (0.000, 0.000, 0.500)

- mass density (kg/m³) = 12044
- VASP energy (eV/atom) = -7.33
- E above lowest polymorph (meV per atom) = 19.4
- total magnetic moment (μB/atom) = 0.00
- E_form (eV/atom) = 0.019

***

A plane-wave DFT calculation with PBE was carried out for a geometry-optimized CdSeBr2O structure.

Cell: 4.887 4.887 4.444 Å, 90.00 90.00 90.00°
Fractional positions:
O (0.000, 0.000, 0.000)
Br (0.500, 0.000, 0.000)
Cd (0.500, 0.500, 0.500)
Se (0.000, 0.000, 0.500)
Br (0.000, 0.500, 0.000)

- mass density (kg/m³) = 5746
- VASP energy (eV/atom) = -2.22
- raw formation energy (meV per atom) = 317.4
- E above lowest polymorph (meV per atom) = 0.0
- total magnetic moment (μB/atom) = 0.00

***

A plane-wave DFT calculation with PBE was carried out for a geometry-optimized TcHg structure.

Cell: 4.379 4.379 4.379 Å, 60.00 60.00 60.00°
Site moments in Bohr magnetons follow the coordinates.
Fractional positions:
Hg (0.000, 0.000, 0.000)  0.05
Tc (0.250, 0.250, 0.250)  2.63

- mass density (kg/m³) = 8351
- VASP energy (eV/atom) = -3.28
- E above lowest polymorph (meV per atom) = 1810.2
- total magnetic moment (μB/atom) = 1.48
- E_form (eV/atom) = 2.053

***

A plane-wave DFT calculation with PBE was carried out for a geometry-optimized Ba4Te2IO2 structure.

Cell: 4.608 9.928 9.864 Å, 122.29 103.51 90.00°
Site moments in Bohr magnetons follow the coordinates.
Fractional positions:
O (0.324, 0.025, 0.647)  0.01
Ba (0.529, 0.749, 0.059)  0.00
I (0.000, 0.000, 0.000)  0.00
Ba (0.231, 0.133, 0.461)  0.01
Ba (0.471, 0.251, 0.941)  0.00
Te (0.102, 0.568, 0.205)  0.23
O (0.676, 0.975, 0.353)  0.01
Te (0.898, 0.432, 0.795)  0.23
Ba (0.769, 0.867, 0.539)  0.01

- mass density (kg/m³) = 4364
- VASP energy (eV/atom) = -4.79
- raw formation energy (meV per atom) = -1961.2
- total magnetic moment (μB/atom) = 0.11

***

A plane-wave DFT calculation with PBE was carried out for a geometry-optimized Pm6IrPd structure.

Cell: 6.974 6.976 6.687 Å, 58.56 80.23 71.02°
Fractional positions:
Pm (0.745, 0.434, 0.651)
Pm (0.255, 0.916, 0.651)
Pm (0.255, 0.566, 0.349)
Pd (0.000, 0.000, 0.000)
Pm (0.256, 0.250, 0.000)
Pm (0.744, 0.750, 0.000)
Ir (0.500, 0.500, 0.000)
Pm (0.745, 0.084, 0.349)

- mass density (kg/m³) = 7393
- VASP energy (eV/atom) = -5.62
- total magnetic moment (μB/atom) = 0.00
- E_form (eV/atom) = -0.304

***

A plane-wave DFT calculation with PBE was carried out for a geometry-optimized HfCdP2S structure.

Cell: 4.806 4.806 4.822 Å, 90.00 90.00 90.00°
Fractional positions:
P (0.000, 0.500, 0.000)
Cd (0.000, 0.000, 0.000)
P (0.500, 0.000, 0.000)
Hf (0.500, 0.500, 0.500)
S (0.000, 0.000, 0.500)

- mass density (kg/m³) = 5739
- VASP energy (eV/atom) = -4.23
- raw formation energy (meV per atom) = 938.1
- E above lowest polymorph (meV per atom) = 880.8
- total magnetic moment (μB/atom) = 0.00

***

A plane-wave DFT calculation with PBE was carried out for a geometry-optimized AgRuSe2 structure.

Cell: 5.911 5.911 6.946 Å, 64.82 64.82 90.00°
Fractional positions:
Se (0.585, 0.125, 0.250)
Se (0.375, 0.415, 0.750)
Se (0.875, 0.835, 0.750)
Ag (0.750, 0.250, 0.500)
Se (0.165, 0.625, 0.250)
Ag (0.000, 0.000, 0.000)
Ru (0.500, 0.500, 0.000)
Ru (0.250, 0.750, 0.500)

- mass density (kg/m³) = 6286
- VASP energy (eV/atom) = -4.72
- raw formation energy (meV per atom) = 49.5
- E above lowest polymorph (meV per atom) = 137.9
- total magnetic moment (μB/atom) = 0.00

***

A plane-wave DFT calculation with PBE was carried out for a geometry-optimized LaSi2Ru structure.

Cell: 6.421 6.421 6.421 Å, 148.26 145.23 47.79°
Fractional positions:
Si (0.720, 0.220, 0.500)
Si (0.090, 0.090, 0.000)
Ru (0.228, 0.728, 0.500)
La (0.462, 0.462, 0.000)

- mass density (kg/m³) = 6217
- VASP energy (eV/atom) = -6.62
- raw formation energy (meV per atom) = -361.9
- total magnetic moment (μB/atom) = 0.00